16
Lattice="4.9822 0.0000 0.0000 0.0000 4.9822 0.0000 0.0000 0.0000 19.9264" Properties=species:S:1:pos:R:3 comment="NdDy3Er12, optimized geometry, DFT PBE" n_ef_per_ev_cell=20.979 e_tot_ev_per_cell=-72.97 space_group=P4/mmm pbc="T T T"
Nd 0.0000 0.0000 0.0000
Dy 0.0000 0.0000 5.0008
Dy 0.0000 0.0000 9.9632
Dy 0.0000 0.0000 14.9257
Er 0.0000 2.4911 2.5249
Er 0.0000 2.4911 7.4839
Er 0.0000 2.4911 12.4425
Er 0.0000 2.4911 17.4016
Er 2.4911 0.0000 2.5249
Er 2.4911 0.0000 7.4839
Er 2.4911 0.0000 12.4425
Er 2.4911 0.0000 17.4016
Er 2.4911 2.4911 0.0000
Er 2.4911 2.4911 5.0097
Er 2.4911 2.4911 9.9632
Er 2.4911 2.4911 14.9168



18
Lattice="9.2293 0.0000 0.0000 -4.6146 7.9928 0.0000 0.0000 0.0000 6.5824" Properties=species:S:1:pos:R:3 comment="Pr3InHg5, optimized geometry, DFT PBE" n_ef_per_ev_cell=10.682 e_tot_ev_per_cell=-45.55 space_group=P6_3/mcm pbc="T T T"
Pr -1.5634 2.7079 1.6456
Pr -3.0512 5.2848 4.9368
Pr 3.1269 0.0000 1.6456
Pr 1.5634 2.7079 4.9368
Pr 6.1024 0.0000 4.9368
Pr 3.0512 5.2848 1.6456
In 0.0000 0.0000 0.0000
In 0.0000 0.0000 3.2912
Hg -1.5154 2.6248 4.9368
Hg -3.0992 5.3680 1.6456
Hg 3.0309 0.0000 4.9368
Hg 1.5154 2.6248 1.6456
Hg 0.0000 5.3285 0.0000
Hg 0.0000 5.3285 3.2912
Hg 4.6146 2.6643 0.0000
Hg 4.6146 2.6643 3.2912
Hg 6.1984 0.0000 1.6456
Hg 3.0992 5.3680 4.9368



10
Lattice="3.4044 0.0000 0.0000 0.0000 3.4044 0.0000 0.0000 0.0000 17.3416" Properties=species:S:1:pos:R:3 comment="DyTm4Cu5, optimized geometry, DFT PBE" n_ef_per_ev_cell=3.990 e_tot_ev_per_cell=-45.84 space_group=P4/mmm pbc="T T T"
Dy 0.0000 0.0000 0.0000
Tm 0.0000 0.0000 3.4969
Tm 0.0000 0.0000 6.9455
Tm 0.0000 0.0000 10.3961
Tm 0.0000 0.0000 13.8447
Cu 1.7022 1.7022 1.7912
Cu 1.7022 1.7022 5.2200
Cu 1.7022 1.7022 8.6708
Cu 1.7022 1.7022 12.1216
Cu 1.7022 1.7022 15.5504



14
Lattice="5.9658 -4.2705 0.0000 5.9658 4.2705 0.0000 -3.9611 0.0000 9.2405" Properties=species:S:1:pos:R:3 comment="ZrInCl5, optimized geometry, DFT PBE" n_ef_per_ev_cell=0.000 e_tot_ev_per_cell=-61.88 space_group=C2/c formation_energy_uncorrected_mev_per_atom=-1489 pbc="T T T"
Zr 0.0000 0.0000 0.0000
Zr -1.9805 0.0000 4.6203
In 2.9950 0.2542 6.9304
In 4.9756 -0.2542 2.3101
Cl 2.9950 3.6384 6.9304
Cl 0.0659 0.7612 5.7000
Cl 5.0847 1.9632 0.0967
Cl 2.0464 -0.7612 1.0797
Cl 4.8664 1.9632 4.5236
Cl 3.1042 -1.9632 4.7169
Cl 5.9242 0.7612 8.1608
Cl 2.8859 -1.9632 9.1438
Cl 7.9047 -0.7612 3.5405
Cl 4.9756 -3.6384 2.3101